An optimized crystal structure of LiTb2DyS5. Source: Alexandria, functional PBE-GGA.

Cell: 8.3447 8.3447 11.7924 Å, 90.00 90.00 152.96°
With the nearest neighbours (Å) after each atom.
Element x y z (fractional)
Li 0.0132 0.9868 0.5000  4 S 2.30-2.44
Li 0.9868 0.0132 0.0000  4 S 2.30-2.44
Tb 0.3764 0.6236 0.3121  8 S 2.80-3.13
Tb 0.3923 0.6077 0.7023  8 S 2.80-3.01
Tb 0.6077 0.3923 0.2023  8 S 2.80-3.01
Tb 0.6236 0.3764 0.8121  8 S 2.80-3.13
Dy 0.3032 0.6968 0.0191  6 S 2.60-2.74
Dy 0.6968 0.3032 0.5191  6 S 2.60-2.74
S 0.0002 0.9998 0.3025  1 Li 2.34
S 0.9998 0.0002 0.8025  1 Li 2.34
S 0.1365 0.8635 0.0188  1 Li 2.44, 1 Dy 2.71
S 0.1920 0.8080 0.3584  2 Dy 2.72, 3 Tb 3.01-3.04
S 0.2131 0.7869 0.6813  2 Dy 2.74, 3 Tb 2.88-2.92
S 0.4544 0.5456 0.0926  2 Li 2.30
S 0.5456 0.4544 0.5926  2 Li 2.30
S 0.7869 0.2131 0.1813  2 Dy 2.74, 3 Tb 2.88-2.92
S 0.8080 0.1920 0.8584  2 Dy 2.72, 3 Tb 3.01-3.04
S 0.8635 0.1365 0.5188  1 Li 2.44, 1 Dy 2.71

## Properties
Total magnetization (Bohr magnetons per cell): 0.0
ΔE_f (raw) (eV per atom): -1.886
Uncorrected energy (eV/atom): -5.93